1.
Entry from the Open Quantum Materials Database: a relaxed Hf2P crystal (PBE).

```
3
Lattice="0.0000 3.0799 3.0799 3.0799 0.0000 3.0799 3.0799 3.0799 0.0000" Properties=species:S:1:pos:R:3 pbc="T T T"
Hf 4.6198 4.6198 4.6198
Hf 1.5399 1.5399 1.5399
P 0.0000 0.0000 0.0000
```


2.
Entry from the Open Quantum Materials Database: a relaxed Hf27P16 crystal (PBE).

```
43
Lattice="-5.9348 -12.2613 6.1514 4.8818 1.1451 14.0804 -7.3512 1.1173 -12.9659" Properties=species:S:1:pos:R:3 pbc="T T T"
Hf -7.7567 -6.5061 -3.9784
P -4.4727 -3.1887 2.1522
Hf -1.6064 -2.7930 7.6994
Hf -5.0670 -6.4714 7.4992
Hf 1.6946 -0.8000 10.9672
Hf -6.0164 -1.7680 -4.1519
Hf -1.4616 -1.2650 4.9185
Hf -2.6295 -10.5685 15.6273
P -11.4457 -9.6004 -5.8705
P -1.3084 -4.0189 5.2592
P -0.9214 -9.7269 17.7032
Hf -5.7747 0.5696 -8.3613
P -4.2615 -10.2949 11.4559
Hf -1.9613 -3.5152 2.7900
Hf -2.3877 -8.2309 11.4178
Hf -2.5582 -0.8020 1.5492
Hf -5.5293 -4.6379 -2.8360
P -0.5900 -6.2283 11.3357
Hf -6.0154 -10.9851 8.9713
Hf -6.9425 -8.7339 2.3474
P -4.1426 0.2960 -4.1900
Hf -5.8460 -9.1969 5.7168
Hf -4.3948 -5.8904 2.2201
P -5.3336 -2.3069 -1.5451
P -3.0705 -7.6920 8.8111
P -1.8403 -1.5436 -0.9439
P -7.0957 -5.9799 2.0067
Hf -6.4428 -6.4837 4.4760
Hf -3.3372 -3.5275 -0.2333
P -1.7601 -8.7878 13.9388
P -0.1316 -1.3893 2.5286
Hf 0.9407 0.0435 7.5847
Hf -6.7978 -7.2059 -0.4335
P -6.6440 -1.2110 -6.6728
P -3.9314 -6.8102 5.1137
Hf -6.2452 -4.1832 0.2439
Hf -10.0987 -9.1989 -3.7013
P -0.4630 -4.8879 8.8961
Hf -4.0093 -4.1085 5.0458
Hf -9.3448 -10.0424 -0.3188
Hf -2.3888 0.9862 -1.7054
Hf -2.1589 -5.8157 7.0221
Hf 0.0000 0.0000 0.0000
```


3.
Entry from the Open Quantum Materials Database: a relaxed Hf2P crystal (PBE).

```
6
Lattice="0.0000 3.9597 3.9597 3.9597 0.0000 3.9597 3.9597 3.9597 0.0000" Properties=species:S:1:pos:R:3 pbc="T T T"
Hf 4.9497 4.9497 4.9497
Hf 2.9698 2.9698 4.9497
P 1.9799 1.9799 1.9799
Hf 4.9497 2.9698 2.9698
P 0.0000 0.0000 0.0000
Hf 2.9698 4.9497 2.9698
```


4.
Entry from the Open Quantum Materials Database: a relaxed Hf3P4 crystal (PBE).

```
14
Lattice="-3.9083 3.9083 3.9083 3.9083 -3.9083 3.9083 3.9083 3.9083 -3.9083" Properties=species:S:1:pos:R:3 pbc="T T T"
Hf 0.0000 1.9542 2.9312
P -1.3343 1.3343 5.2427
Hf 1.9542 2.9312 0.0000
Hf 5.8625 0.9771 0.0000
P 3.2885 0.6198 -0.6198
P 2.5740 2.5740 2.5740
Hf 2.9312 0.0000 1.9542
P 1.3343 5.2427 -1.3343
P 0.6198 0.6198 0.6198
P 5.2427 -1.3343 1.3343
Hf 0.0000 5.8625 0.9771
P 0.6198 -0.6198 3.2885
Hf 0.9771 0.0000 5.8625
P -0.6198 3.2885 0.6198
```


5.
Entry from the Open Quantum Materials Database: a relaxed Hf3P4Pd4 crystal (PBE).

- Relative energy among the computed polymorphs: 0 meV per atom

```
11
Lattice="6.4907 0.0000 0.0000 0.0000 3.7970 0.0000 -0.0861 0.0000 7.5052" Properties=species:S:1:pos:R:3 pbc="T T T"
Pd 0.9387 0.0000 3.3473
P 4.8538 0.0000 2.8138
Pd 2.2181 1.8985 7.0409
Pd 4.1752 0.0000 0.4549
Hf 3.4304 0.0000 5.1579
Hf 6.2588 1.8985 1.3130
Pd 5.5128 1.8985 4.2568
P 1.5643 0.0000 0.9577
P 1.6315 1.8985 4.6988
P 4.9150 1.8985 6.5767
Hf 2.9853 1.8985 2.3884
```


6.
Entry from the Open Quantum Materials Database: a relaxed Hf3P4Pd4 crystal (PBE).

- Relative energy among the computed polymorphs: 262 meV per atom

```
11
Lattice="-2.9897 2.9897 5.7489 2.9897 -2.9897 5.7489 2.9897 2.9897 -5.7489" Properties=species:S:1:pos:R:3 pbc="T T T"
Pd 1.6047 1.6047 7.1291
Pd 1.3849 1.3849 1.3802
Pd -1.6047 1.6047 4.3687
Pd 1.6047 -1.6047 4.3687
Hf 2.9897 0.0000 2.8745
P 0.0000 0.0000 8.5554
Hf 0.0000 0.0000 5.7489
P 0.0000 2.9897 0.0000
P 0.0000 0.0000 2.9425
Hf 0.0000 2.9897 2.8745
P 2.9897 0.0000 0.0000
```


7.
Entry from the Open Quantum Materials Database: a relaxed HfZr2P4Pd4 crystal (PBE).

```
11
Lattice="-1.4285 3.3473 5.4234 1.7782 -2.6445 2.1005 6.4496 3.7796 -0.7013" Properties=species:S:1:pos:R:3 pbc="T T T"
Pd -0.5499 2.3749 3.4554
P 5.4465 4.5425 4.5758
Pd 6.4187 3.4035 2.3188
P 1.3389 3.9497 3.8391
Hf 3.6649 4.3878 2.4216
Zr 0.6258 2.5768 6.1818
P 0.4799 1.3228 1.2591
Pd 3.3325 3.6838 5.2842
Zr 2.2801 1.4438 3.3551
P 4.5613 1.9048 2.0044
Pd 2.6880 2.1970 0.4905
```


8.
Entry from the Open Quantum Materials Database: a relaxed Pm2HfP3 crystal (PBE).

```
6
Lattice="3.9577 0.0000 0.0000 -1.9789 3.4275 0.0000 0.0000 0.0000 9.8085" Properties=species:S:1:pos:R:3 pbc="T T T"
P 0.0000 0.0000 0.0000
Pm 1.9789 1.1425 1.7243
P 1.9789 1.1425 6.3174
P 0.0000 2.2850 3.4910
Hf 0.0000 0.0000 4.9042
Pm 0.0000 2.2850 8.0841
```


9.
Entry from the Open Quantum Materials Database: a relaxed PrHf2P3 crystal (PBE).

```
6
Lattice="3.8376 0.0000 0.0000 -1.9188 3.3235 0.0000 0.0000 0.0000 9.5112" Properties=species:S:1:pos:R:3 pbc="T T T"
P 1.9188 1.1078 6.6232
P 0.0000 2.2157 2.8880
Hf 0.0000 2.2157 8.0613
Pr 0.0000 0.0000 4.7556
P 0.0000 0.0000 0.0000
Hf 1.9188 1.1078 1.4499
```


10.
Entry from the Open Quantum Materials Database: a relaxed Hf2P4Pt crystal (PBE).

```
7
Lattice="-5.2630 -0.8072 -0.9708 -0.7325 -2.5167 -4.7353 1.3059 -3.2368 3.0415" Properties=species:S:1:pos:R:3 pbc="T T T"
P -3.9788 -4.2505 -0.2863
P -3.0428 -1.4302 -0.4406
Pt 0.0000 0.0000 0.0000
Hf -1.3488 -3.4428 -0.0599
P -1.6468 -5.1304 -2.2240
Hf -3.3407 -3.1179 -2.6047
P -0.7108 -2.3101 -2.3783
```


11.
Entry from the Open Quantum Materials Database: a relaxed PuHfP2 crystal (PBE).

- Relative energy among the computed polymorphs: 0 meV per atom

```
4
Lattice="1.9162 1.1063 6.2910 -1.9162 1.1063 6.2910 0.0000 -2.2126 6.2910" Properties=species:S:1:pos:R:3 pbc="T T T"
P 0.0000 0.0000 4.6169
Hf 0.0000 0.0000 9.4365
P 0.0000 0.0000 14.2562
Pu 0.0000 0.0000 0.0000
```


12.
Entry from the Open Quantum Materials Database: a relaxed PuHfP2 crystal (PBE).

- Relative energy among the computed polymorphs: 126 meV per atom

```
8
Lattice="3.6945 0.0000 0.0000 -1.8473 3.1996 0.0000 0.0000 0.0000 12.9928" Properties=species:S:1:pos:R:3 pbc="T T T"
P 1.8473 1.0665 9.8706
Hf 0.0000 0.0000 11.3400
Pu 0.0000 2.1331 4.7681
Pu 0.0000 2.1331 8.2247
P 0.0000 2.1331 0.0000
P 1.8473 1.0665 3.1222
P 0.0000 0.0000 6.4964
Hf 0.0000 0.0000 1.6529
```


13.
Entry from the Open Quantum Materials Database: a relaxed Rb2HfP2 crystal (PBE).

```
10
Lattice="3.4618 -8.1875 0.0000 3.4618 8.1875 0.0000 0.0000 0.0000 5.7308" Properties=species:S:1:pos:R:3 pbc="T T T"
P 1.1609 1.8849 4.2981
Rb 3.4618 -4.5529 1.4327
P 5.7627 -1.8849 1.4327
Rb 3.4618 -1.5000 4.2981
Hf 0.0000 0.0000 0.0000
Hf 0.0000 0.0000 2.8654
Rb 3.4618 4.5529 4.2981
Rb 3.4618 1.5000 1.4327
P 1.1609 -1.8849 1.4327
P 5.7627 1.8849 4.2981
```


14.
Entry from the Open Quantum Materials Database: a relaxed Hf9Re4P crystal (PBE).

```
28
Lattice="8.5107 0.0000 0.0000 -4.2553 7.3705 0.0000 0.0000 0.0000 8.6331" Properties=species:S:1:pos:R:3 pbc="T T T"
Hf 0.0000 2.9010 8.2186
Re 0.0000 1.6050 2.1583
Hf -1.6266 3.9745 2.1583
Re 4.2553 5.7654 6.4748
Hf 4.2553 4.4695 3.9021
P 0.0000 4.9136 6.4748
Re 0.0000 0.0000 0.0000
Re 2.8654 6.5679 2.1583
Re 7.1207 0.8025 6.4748
Hf 2.5123 1.4505 0.4144
Hf 4.2553 4.4695 0.4144
Hf 5.8819 3.3959 6.4748
Hf 0.0000 6.7919 2.1583
Hf 1.7430 5.9200 4.7309
Hf 5.9984 1.4505 0.4144
Hf 2.6287 3.3959 6.4748
Re 1.3900 0.8025 6.4748
Hf 4.2553 0.5786 6.4748
Hf 1.6266 3.9745 2.1583
Re -2.8653 6.5679 2.1583
Hf 0.0000 2.9010 4.7309
P 4.2553 2.4568 2.1583
Re 0.0000 0.0000 4.3165
Hf -1.7430 5.9200 4.7309
Hf 1.7430 5.9200 8.2186
Hf 2.5123 1.4505 3.9021
Hf 5.9984 1.4505 3.9021
Hf -1.7430 5.9200 8.2186
```


15.
Entry from the Open Quantum Materials Database: a relaxed HfZrP2S2 crystal (PBE).

```
6
Lattice="5.4586 4.1692 0.1147 0.2747 6.5076 2.1834 -1.4076 -6.6212 1.1706" Properties=species:S:1:pos:R:3 pbc="T T T"
S 0.6374 2.1850 2.1596
Zr 2.1042 3.9186 0.8434
S 3.6684 1.8335 1.3012
Hf 3.6348 6.7689 1.4570
P 0.9314 -0.5461 0.2961
P 3.1339 -1.8793 0.9949
```


16.
Entry from the Open Quantum Materials Database: a relaxed HfZrSbP crystal (PBE).

- Relative energy among the computed polymorphs: 0 meV per atom

```
8
Lattice="3.8247 0.0000 0.0000 -1.9124 3.3123 0.0000 0.0000 0.0000 13.2850" Properties=species:S:1:pos:R:3 pbc="T T T"
Hf 0.0000 2.2082 4.6969
Hf 0.0000 2.2082 8.5881
Zr 0.0000 0.0000 11.3028
Zr 0.0000 0.0000 1.9822
Sb 0.0000 0.0000 6.6425
Sb 0.0000 2.2082 0.0000
P 1.9123 1.1041 9.9143
P 1.9123 1.1041 3.3707
```


17.
Entry from the Open Quantum Materials Database: a relaxed HfZrSbP crystal (PBE).

- Relative energy among the computed polymorphs: 2 meV per atom

```
8
Lattice="-3.3840 -1.7792 -0.0374 2.8355 -1.3310 2.1925 -4.1494 7.6812 10.0290" Properties=species:S:1:pos:R:3 pbc="T T T"
P 0.0000 0.0000 0.0000
Sb -4.4343 4.1521 8.2551
Hf -2.9672 5.4236 10.4634
P -2.0747 3.8406 5.0145
Zr -1.7414 3.1544 7.5007
Sb -0.2637 0.4189 3.9290
Zr -2.9565 1.4166 4.6834
Hf -1.7307 -0.8526 1.7207
```


18.
Entry from the Open Quantum Materials Database: a relaxed HfZrSbP crystal (PBE).

- Relative energy among the computed polymorphs: 0 meV per atom

```
8
Lattice="3.8229 0.0000 0.0000 -1.9114 3.3107 0.0000 0.0000 0.0000 13.2865" Properties=species:S:1:pos:R:3 pbc="T T T"
Zr 1.9115 1.1036 1.3639
Hf 0.0000 2.2072 11.9327
P 0.0000 0.0000 6.6149
Hf 1.9115 1.1036 5.2894
Sb 0.0000 2.2072 3.3398
Sb 1.9115 1.1036 9.9831
P 0.0000 0.0000 13.2581
Zr 0.0000 2.2072 8.0072
```


19.
Entry from the Open Quantum Materials Database: a relaxed HfZr3Sb2P2 crystal (PBE).

```
8
Lattice="-0.2571 2.8660 -2.5299 -2.5762 -0.3031 2.8199 7.6799 7.6039 7.8336" Properties=species:S:1:pos:R:3 pbc="T T T"
Zr 1.2513 3.7775 4.1522
P 2.8148 5.6165 3.1752
Zr -1.0253 1.5235 1.8301
P 6.6283 9.3923 7.0651
Zr 4.6367 4.5908 4.7295
Sb 1.9154 1.8964 1.9537
Hf 6.8946 6.8263 7.0326
Sb 3.9739 6.4732 6.9293
```


20.
Entry from the Open Quantum Materials Database: a relaxed HfP2Se6 crystal (PBE).

```
9
Lattice="3.2961 1.9030 7.5458 -3.2961 1.9030 7.5458 0.0000 -3.8060 7.5458" Properties=species:S:1:pos:R:3 pbc="T T T"
Se 1.3090 1.6770 13.3181
Se -0.8019 1.8364 9.3140
Se -2.1068 0.2951 13.3181
P 0.0000 0.0000 16.2040
Se -1.1895 -1.6127 9.3140
Se 1.9914 -0.2237 9.3140
Hf 0.0000 0.0000 7.5456
Se 0.7978 -1.9721 13.3181
P 0.0000 0.0000 13.9720
```


Taking the records one at a time from the top gives total DFT energy (no corrections) values of -8.994 -9.347 -7.916 -8.368 -7.507 -7.245 -7.282 -7.405 -8.147 -7.391 -10.058 -9.932 -4.887 -10.784 -7.527 -8.073 -8.071 -8.074 -7.934 -5.136 eV per atom.